# 1
! ZrFe2Br PBE-GGA relaxed; values from VASP
! - energy relative to the lowest polymorph listed for this composition (meV/atom) = 388.5
! - E_form (uncorrected) (meV/atom) = 397.4
! - Fermi-level density of states (states/eV/f.u.) = 3.87
! - raw total energy (eV per atom) = -6.39
&SYSTEM
  ibrav = 0, nat = 4, ntyp = 3
/
ATOMIC_SPECIES
Fe 55.84 Fe.upf
Br 79.90 Br.upf
Zr 91.22 Zr.upf
CELL_PARAMETERS angstrom
4.454 -0.001 -0.003
-2.197 5.207 -0.002
0.060 0.929 2.964
ATOMIC_POSITIONS crystal
Fe 0.000 0.000 0.000
Fe 0.500 0.000 0.500
Br 0.500 0.500 0.000
Zr 0.000 0.500 0.500

# 2
! TlCuGe PBE-GGA relaxed; values from VASP
! - DFT formation energy (eV per formula unit) = 1.409
! - Fermi-level density of states (states/eV/f.u.) = 1.47
! - raw total energy (eV per atom) = -3.22
&SYSTEM
  ibrav = 0, nat = 6, ntyp = 3
/
ATOMIC_SPECIES
Ge 72.64 Ge.upf
Tl 204.38 Tl.upf
Cu 63.55 Cu.upf
CELL_PARAMETERS angstrom
-2.936 2.903 0.493
-2.631 -2.899 1.401
2.329 1.194 6.842
ATOMIC_POSITIONS crystal
Ge 0.500 0.000 0.885
Ge 0.000 0.500 0.115
Tl 0.000 0.000 0.500
Tl 0.500 0.500 0.500
Cu 0.000 0.500 0.790
Cu 0.500 0.000 0.210